# ZnFe2O

A geometry-optimized ZnFe2O structure (GGA+U, Alexandria).

Crystal system = tetragonal
Total energy = -4.564 eV/atom
Offset from the most stable computed form = 0.000 eV/atom
Mass density = 4.92 Mg/m³

a b c (Å): 5.907 5.907 7.467
angles (deg): 90.00 90.00 90.00
Space group I-42d (No. 122)
Symmetry-distinct sites (fractional):
1 Zn 0.000 0.000 0.000 [4 per cell]
2 Fe 0.166 0.750 0.625 [8 per cell]
3 O 0.000 0.000 0.500 [4 per cell]